Entry 1:
## La2ReGe6 (PBE)

Data for an optimized crystal structure of La2ReGe6.

Calculated values
VASP energy   -5.8531 eV per atom
Magnetic moment   0.00 μB/f.u.
ΔE_f   -6.842 kcal/mol of atoms

Geometry as extended XYZ:
```
9
Lattice="4.1519 -5.4553 0.0000 4.1519 5.4553 0.0000 0.0000 0.0000 4.4402" Properties=species:S:1:pos:R:3 pbc="T T T"
La 4.1519 2.8316 0.0000
La 4.1519 -2.8316 0.0000
Re 4.1519 0.0000 2.2201
Ge 2.0035 1.4406 2.2201
Ge 2.5612 0.0000 0.0000
Ge 2.0035 -1.4406 2.2201
Ge 6.3002 1.4406 2.2201
Ge 5.7425 0.0000 0.0000
Ge 6.3002 -1.4406 2.2201
```



Entry 2:
## La2ReGe2 (PBE)

Data for an optimized crystal structure of La2ReGe2.

Calculated values
ΔE to the lowest computed polymorph   1.145 eV/atom
VASP energy   -5.5252 eV per atom
Magnetic moment   0.00 μB/f.u.
ΔE_f   18.041 kcal/mol of atoms

Geometry as extended XYZ:
```
5
Lattice="-2.0834 2.0834 6.6574 2.0834 -2.0834 6.6574 2.0834 2.0834 -6.6574" Properties=species:S:1:pos:R:3 pbc="T T T"
La 2.0834 0.0000 3.3287
La 0.0000 2.0834 3.3287
Re 0.0000 0.0000 0.0000
Ge 0.0000 0.0000 5.5204
Ge 0.0000 0.0000 7.7943
```



Entry 3:
## LaRe2Ge (PBE)

Data for an optimized crystal structure of LaRe2Ge.

Calculated values
VASP energy   -7.8584 eV per atom
Magnetic moment   0.90 μB/f.u.
ΔE_f   17.338 kcal/mol of atoms

Geometry as extended XYZ:
```
8
Lattice="-3.8293 3.8293 2.8127 3.8293 -3.8293 2.8127 3.8293 3.8293 -2.8127" Properties=species:S:1:pos:R:3 pbc="T T T"
La 0.0000 0.0000 0.0000
La 0.0000 3.8293 1.4063
Re 1.9146 -1.4022 2.1095
Re 2.4271 1.9146 0.7032
Re 1.9146 5.2315 -0.7032
Re 1.4022 1.9146 3.5158
Ge 3.8293 0.0000 1.4063
Ge 0.0000 0.0000 2.8127
```



Entry 4:
## LaReGe3 (PBE)

Data for an optimized crystal structure of LaReGe3.

Calculated values
VASP energy   -6.6099 eV per atom
Magnetic moment   0.00 μB/f.u.
ΔE_f   -8.402 kcal/mol of atoms

Geometry as extended XYZ:
```
10
Lattice="6.1774 0.0000 0.0000 -3.0887 5.3498 0.0000 0.0000 0.0000 6.0187" Properties=species:S:1:pos:R:3 pbc="T T T"
La 0.0000 3.5665 1.5047
La 3.0887 1.7833 4.5140
Re 0.0000 0.0000 0.0000
Re 0.0000 0.0000 3.0093
Ge 0.0000 2.0722 4.5140
Ge -1.2941 4.3136 4.5140
Ge 1.7946 1.0361 1.5047
Ge 1.2941 4.3136 4.5140
Ge 4.3828 1.0361 1.5047
Ge 3.0887 3.2775 1.5047
```



Entry 5:
## LaRe2Ge2 (PBE)

Data for an optimized crystal structure of LaRe2Ge2.

Calculated values
VASP energy   -7.9651 eV per atom
Magnetic moment   0.00 μB/f.u.
ΔE_f   -3.538 kcal/mol of atoms

Geometry as extended XYZ:
```
5
Lattice="-2.2895 2.2895 4.8113 2.2895 -2.2895 4.8113 2.2895 2.2895 -4.8113" Properties=species:S:1:pos:R:3 pbc="T T T"
La 0.0000 0.0000 0.0000
Re 0.0000 0.0000 3.6477
Re 0.0000 0.0000 5.9749
Ge 2.2895 0.0000 2.4056
Ge 0.0000 2.2895 2.4056
```



Entry 6:
## La2ReGe5 (PBE)

Data for an optimized crystal structure of La2ReGe5.

Calculated values
VASP energy   -6.0416 eV per atom
Magnetic moment   0.00 μB/f.u.
ΔE_f   -8.483 kcal/mol of atoms

Geometry as extended XYZ:
```
8
Lattice="-3.0948 3.0948 4.6859 3.0948 -3.0948 4.6859 3.0948 3.0948 -4.6859" Properties=species:S:1:pos:R:3 pbc="T T T"
La 3.0948 0.0000 0.0000
La 0.0000 3.0948 0.0000
Re 0.0000 0.0000 2.0010
Ge 1.7667 1.7667 2.3060
Ge 1.3281 -1.3281 6.9919
Ge 0.0000 0.0000 8.9427
Ge -1.3281 1.3281 6.9919
Ge 1.3281 1.3281 6.9919
```